Na3ZnBi3O8: optimized geometry, GGA-PBE.

Geometry as CIF:
```
data_Na3ZnBi3O8
_chemical_formula_sum 'Na3 Zn1 Bi3 O8'
_symmetry_space_group_name_H-M 'P 1'
_symmetry_Int_Tables_number 1
_cell_length_a 6.805
_cell_length_b 6.805
_cell_length_c 6.863
_cell_angle_alpha 119.21
_cell_angle_beta 119.21
_cell_angle_gamma 60.66
loop_
_symmetry_equiv_pos_as_xyz
'x,y,z'
loop_
_atom_site_label
_atom_site_type_symbol
_atom_site_fract_x
_atom_site_fract_y
_atom_site_fract_z
Na1 Na 0.000 0.000 0.000
Na2 Na 0.000 0.500 0.000
Na3 Na 0.500 0.000 0.000
Zn1 Zn 0.000 0.000 0.500
Bi1 Bi 0.000 0.500 0.500
Bi2 Bi 0.500 0.000 0.500
Bi3 Bi 0.500 0.500 0.500
O1 O 0.211 0.755 0.699
O2 O 0.236 0.236 0.708
O3 O 0.245 0.789 0.301
O4 O 0.251 0.251 0.268
O5 O 0.749 0.749 0.732
O6 O 0.755 0.211 0.699
O7 O 0.764 0.764 0.292
O8 O 0.789 0.245 0.301
```

Output
Uncorrected formation energy = -18.01 eV per formula unit
DOS(E_F) = 0.54 states/eV/atom
Uncorrected energy = -74.551 eV per cell
Space-group type = C2/m, No. 12
Magnetization = 0.0 μB per formula unit